{"formula": "GaHgMo2O8", "functional": "GGA+U", "state": "optimized geometry", "m_tot_mub_per_cell": 0.9, "energy_ev_per_cell": -72.4, "spacegroup": "C2/m, No. 12", "vol_a3_per_atom": 16.71, "cell": [[5.191, -2.964, 0.000], [5.191, 2.964, 0.000], [-1.611, 0.000, 6.516]], "species": ["Ga", "Hg", "Mo", "Mo", "O", "O", "O", "O", "O", "O", "O", "O"], "frac_coords": [[0.000, 0.000, 0.000], [0.500, 0.500, 0.500], [0.314, 0.314, 0.899], [0.686, 0.686, 0.101], [0.133, 0.133, 0.822], [0.139, 0.644, 0.823], [0.352, 0.352, 0.166], [0.356, 0.861, 0.177], [0.644, 0.139, 0.823], [0.648, 0.648, 0.834], [0.861, 0.356, 0.177], [0.867, 0.867, 0.178]]}